Below is crystalline CaLa2P at its relaxed geometry, with properties calculated at the PBE level.

Properties
Energy of formation: -319 meV/atom
D(E_F): 8.58 states/eV/cell

```
data_CaLa2P
_chemical_formula_sum 'Ca2 La4 P2'
_space_group_name_H-M_alt 'I -4 m 2'
_space_group_IT_number 119
_space_group_name_Hall 'I -4 -2'
_cell_length_a 4.621
_cell_length_b 4.621
_cell_length_c 10.324
_cell_angle_alpha 90.00
_cell_angle_beta 90.00
_cell_angle_gamma 90.00
loop_
_atom_site_label
_atom_site_fract_x
_atom_site_fract_y
_atom_site_fract_z
_atom_site_occupancy
Ca1 0.000 0.000 0.000 1
La1 0.000 0.000 0.500 1
La2 0.000 0.500 0.750 1
P1 0.000 0.500 0.250 1
```